ScCoSi | OQMD | PBE | relaxed; spin magnetization = 0.20 μB/f.u.; space group = Pnma, No. 62; DFT total energy = -6.937 eV per atom
1.0
4.049 0.000 0.000
0.000 3.780 0.000
0.000 0.000 11.416
Sc Co Si
4 4 4
Direct
0.248 0.250 0.159
0.252 0.750 0.659
0.748 0.250 0.341
0.752 0.750 0.841
0.250 0.250 0.496
0.250 0.750 0.996
0.750 0.250 0.004
0.750 0.750 0.504
0.249 0.750 0.383
0.251 0.250 0.883
0.749 0.750 0.117
0.751 0.250 0.617